## ScNbCoAu (PBE-GGA)

Data for ScNbCoAu after structural relaxation.

a = 4.5824 Å, b = 4.5824 Å, c = 4.5824 Å
α = 60.00°, β = 60.00°, γ = 60.00°
Sites, in units of the cell vectors:
Au (0.7500, 0.7500, 0.7500)
Nb (0.5000, 0.5000, 0.5000)
Co (0.2500, 0.2500, 0.2500)
Sc (0.0000, 0.0000, 0.0000)

Values from the calculation:
The value obtained for the final energy is -6.830 eV/atom. The calculation puts the energy above the most stable polymorph in this dataset at 0 meV per atom. Its formation energy is -0.13 eV/atom. Its space group is No. 216.